Below is a relaxed structure of ScSnRh2O, with properties calculated at the PBE-GGA level.

```
ScSnRh2O
1.0
4.9692 0.0000 0.0000
0.0000 3.9870 0.0000
0.0000 0.0000 4.9692
O Rh Sn Sc
1 2 1 1
Direct
0.0000 0.5000 0.0000
0.0000 0.0000 0.5000
0.5000 0.0000 0.0000
0.0000 0.0000 0.0000
0.5000 0.5000 0.5000
```

ρ: 6.50 g/cm³
energy relative to the elements, uncorrected: 0.107 eV/atom